# 1
The following is a PBE-GGA calculation of an optimized crystal structure of Tb2Sm2In3, from the Alexandria database.

Unit cell a=4.5762 b=3.5109 c=12.5732 alpha=90.00 beta=79.51 gamma=90.00
Atoms (fractional coordinates):
In  0.8562  0.0000  0.2875
Tb  0.7017  0.5000  0.5966
Tb  0.2983  0.5000  0.4034
Sm  0.5701  0.5000  0.8598
In  0.0000  0.0000  0.0000
Sm  0.4299  0.5000  0.1402
In  0.1438  0.0000  0.7125

Properties
energy above the most stable polymorph in this dataset: 0.000 eV/atom
uncorrected energy: -29.1 eV/cell
space-group type: Cmmm (65)
calculated formation energy: -0.313 eV/atom

---

# 2
The following is a PBE-GGA calculation of an optimized crystal structure of Tb4Sm7In, from the Alexandria database.

Unit cell a=5.9657 b=6.7775 c=11.7052 alpha=81.53 beta=75.24 gamma=63.89
Atoms (fractional coordinates):
Sm  0.7978  0.4834  0.9209
Sm  0.2022  0.5166  0.0791
Tb  0.3612  0.5069  0.7706
In  0.0000  0.0000  0.0000
Tb  0.6388  0.4931  0.2294
Tb  0.8491  0.6752  0.6267
Sm  0.9052  0.9141  0.2755
Tb  0.1509  0.3248  0.3733
Sm  0.0948  0.0859  0.7245
Sm  0.3683  0.7870  0.4764
Sm  0.5000  0.0000  0.0000
Sm  0.6317  0.2130  0.5236

Properties
energy above the most stable polymorph in this dataset: 0.036 eV/atom
uncorrected energy: -52.2 eV/cell
space-group type: C2/m (12)
calculated formation energy: 0.175 eV/atom

---

# 3
The following is a PBE-GGA calculation of an optimized crystal structure of Tb2Sm5In4, from the Alexandria database.

Unit cell a=3.4521 b=8.7249 c=10.6640 alpha=84.41 beta=90.00 gamma=90.00
Atoms (fractional coordinates):
Sm  0.0000  0.5000  0.0000
In  0.5000  0.7994  0.8785
Sm  0.0000  0.4612  0.3338
Tb  0.0000  0.0827  0.3620
Sm  0.0000  0.5388  0.6662
Sm  0.0000  0.8406  0.1417
In  0.5000  0.2452  0.5771
In  0.5000  0.2006  0.1215
In  0.5000  0.7548  0.4229
Sm  0.0000  0.1594  0.8583
Tb  0.0000  0.9173  0.6380

Properties
energy above the most stable polymorph in this dataset: 0.000 eV/atom
uncorrected energy: -46.9 eV/cell
space-group type: P2/m (10)
calculated formation energy: -0.279 eV/atom

---

# 4
The following is a PBE-GGA calculation of an optimized crystal structure of Tb2Sm5In, from the Alexandria database.

Unit cell a=4.9683 b=4.9683 c=10.7969 alpha=103.30 beta=103.30 gamma=90.00
Atoms (fractional coordinates):
Sm  0.3778  0.8778  0.7555
Sm  0.6222  0.1222  0.2445
Tb  0.2523  0.2523  0.5047
Sm  0.1222  0.6222  0.2445
Sm  0.8778  0.3778  0.7555
Sm  0.5000  0.5000  0.0000
In  0.0000  0.0000  0.0000
Tb  0.7477  0.7477  0.4953

Properties
uncorrected energy: -36.5 eV/cell
space-group type: I4/mmm (139)
calculated formation energy: -0.113 eV/atom